# 1
# Ho2PuGa | the Alexandria database | PBE-GGA | optimized geometry
data_Ho2PuGa
_cell_length_a 3.5070
_cell_length_b 3.5070
_cell_length_c 30.5730
_cell_angle_alpha 90.00
_cell_angle_beta 90.00
_cell_angle_gamma 120.00
_symmetry_space_group_name_H-M 'R -3 m'
_symmetry_Int_Tables_number 166
_symmetry_space_group_name_Hall '-R 3 2"'
loop_
_atom_site_label
_atom_site_type_symbol
_atom_site_fract_x
_atom_site_fract_y
_atom_site_fract_z
_atom_site_occupancy
Ho1 Ho 0.0000 0.0000 0.2394 1
Pu1 Pu 0.0000 0.0000 0.0000 1
Ga1 Ga 0.0000 0.0000 0.5000 1
# Energy of formation from the pure elements in eV per atom: -0.110
# Offset from the most stable computed form in eV per atom: 0.096

# 2
# CrInAsH2 | the Alexandria database | PBE-GGA | optimized geometry
data_CrInAsH2
_cell_length_a 3.6400
_cell_length_b 3.6400
_cell_length_c 6.3470
_cell_angle_alpha 90.00
_cell_angle_beta 90.00
_cell_angle_gamma 90.00
_symmetry_space_group_name_H-M 'P 4/m m m'
_symmetry_Int_Tables_number 123
_symmetry_space_group_name_Hall '-P 4 2'
loop_
_atom_site_label
_atom_site_type_symbol
_atom_site_fract_x
_atom_site_fract_y
_atom_site_fract_z
_atom_site_occupancy
Cr1 Cr 0.0000 0.0000 0.0000 1
In1 In 0.0000 0.0000 0.5000 1
As1 As 0.5000 0.5000 0.0000 1
H1 H 0.0000 0.5000 0.5000 1
# Total energy in eV for the cell shown: -21.6

# 3
# La10SmEr4 | the Alexandria database | PBE-GGA | optimized geometry
data_La10SmEr4
_cell_length_a 11.6135
_cell_length_b 11.6135
_cell_length_c 7.9061
_cell_angle_alpha 90.00
_cell_angle_beta 90.00
_cell_angle_gamma 90.00
_symmetry_space_group_name_H-M 'I 4/m m m'
_symmetry_Int_Tables_number 139
_symmetry_space_group_name_Hall '-I 4 2'
loop_
_atom_site_label
_atom_site_type_symbol
_atom_site_fract_x
_atom_site_fract_y
_atom_site_fract_z
_atom_site_occupancy
La1 La 0.0000 0.2186 0.2113 1
La2 La 0.0000 0.5000 0.2500 1
Sm1 Sm 0.0000 0.0000 0.5000 1
Er1 Er 0.2308 0.2308 0.5000 1
# Energy of formation from the pure elements in eV per atom: 0.200

# 4
# Ca3Bi4Rh8 | the Alexandria database | PBE-GGA | optimized geometry
data_Ca3Bi4Rh8
_cell_length_a 13.3239
_cell_length_b 13.3239
_cell_length_c 13.3239
_cell_angle_alpha 90.00
_cell_angle_beta 90.00
_cell_angle_gamma 90.00
_symmetry_space_group_name_H-M 'F m -3 m'
_symmetry_Int_Tables_number 225
_symmetry_space_group_name_Hall '-F 4 2 3'
loop_
_atom_site_label
_atom_site_type_symbol
_atom_site_fract_x
_atom_site_fract_y
_atom_site_fract_z
_atom_site_occupancy
Ca1 Ca 0.0000 0.0000 0.2304 1
Bi1 Bi 0.0000 0.0000 0.0000 1
Bi2 Bi 0.0000 0.0000 0.5000 1
Bi3 Bi 0.0000 0.2500 0.2500 1
Rh1 Rh 0.1210 0.1210 0.3790 1
Rh2 Rh 0.1723 0.1723 0.1723 1
# Energy of formation from the pure elements in eV per atom: -0.312

# 5
# CaBeSi2 | the Alexandria database | PBE-GGA | optimized geometry
data_CaBeSi2
_cell_length_a 4.7384
_cell_length_b 4.7384
_cell_length_c 14.9330
_cell_angle_alpha 90.00
_cell_angle_beta 90.00
_cell_angle_gamma 90.00
_symmetry_space_group_name_H-M 'I 41/a m d'
_symmetry_Int_Tables_number 141
loop_
_symmetry_equiv_pos_as_xyz
'x,y,z'
'-x,-y,-z'
'-y+1/4,x+3/4,z+1/4'
'y+1/4,-x+3/4,-z+1/4'
'-x+1/2,-y,z+1/2'
'x+1/2,y,-z+1/2'
'y+1/4,-x+1/4,z+3/4'
'-y+1/4,x+1/4,-z+3/4'
'x,-y,-z'
'-x,y,z'
'-y+1/4,-x+1/4,-z+3/4'
'y+1/4,x+1/4,z+3/4'
'-x+1/2,y,-z+1/2'
'x+1/2,-y,z+1/2'
'y+1/4,x+3/4,-z+1/4'
'-y+1/4,-x+3/4,z+1/4'
'x+1/2,y+1/2,z+1/2'
'-x+1/2,-y+1/2,-z+1/2'
'-y+3/4,x+1/4,z+3/4'
'y+3/4,-x+1/4,-z+3/4'
'-x,-y+1/2,z'
'x,y+1/2,-z'
'y+3/4,-x+3/4,z+1/4'
'-y+3/4,x+3/4,-z+1/4'
'x+1/2,-y+1/2,-z+1/2'
'-x+1/2,y+1/2,z+1/2'
'-y+3/4,-x+3/4,-z+1/4'
'y+3/4,x+3/4,z+1/4'
'-x,y+1/2,-z'
'x,-y+1/2,z'
'y+3/4,x+1/4,-z+3/4'
'-y+3/4,-x+1/4,z+3/4'
loop_
_atom_site_label
_atom_site_type_symbol
_atom_site_fract_x
_atom_site_fract_y
_atom_site_fract_z
_atom_site_occupancy
Ca1 Ca 0.0000 0.2500 0.3750 1
Be1 Be 0.0000 0.2500 0.8750 1
Si1 Si 0.0000 0.0000 0.0000 1
# Formation energy without anion corrections in meV/atom: -12

# 6
# SrAs3P | the Alexandria database | PBE-GGA | optimized geometry
data_SrAs3P
_cell_length_a 4.9429
_cell_length_b 4.9429
_cell_length_c 4.9429
_cell_angle_alpha 90.00
_cell_angle_beta 90.00
_cell_angle_gamma 90.00
_symmetry_space_group_name_H-M 'P m -3 m'
_symmetry_Int_Tables_number 221
_symmetry_space_group_name_Hall '-P 4 2 3'
loop_
_atom_site_label
_atom_site_type_symbol
_atom_site_fract_x
_atom_site_fract_y
_atom_site_fract_z
_atom_site_occupancy
Sr1 Sr 0.0000 0.0000 0.0000 1
As1 As 0.0000 0.5000 0.5000 1
P1 P 0.5000 0.5000 0.5000 1
# Energy of formation from the pure elements in eV per atom: -0.020
# Offset from the most stable computed form in eV per atom: 0.253

# 7
# Mg7Tl12Cd | the Alexandria database | PBE-GGA | optimized geometry
data_Mg7Tl12Cd
_cell_length_a 14.0197
_cell_length_b 14.0197
_cell_length_c 9.6477
_cell_angle_alpha 90.00
_cell_angle_beta 90.00
_cell_angle_gamma 120.00
_symmetry_space_group_name_H-M 'R -3'
_symmetry_Int_Tables_number 148
_symmetry_space_group_name_Hall '-R 3'
loop_
_atom_site_label
_atom_site_type_symbol
_atom_site_fract_x
_atom_site_fract_y
_atom_site_fract_z
_atom_site_occupancy
Mg1 Mg 0.0000 0.0000 0.0000 1
Mg2 Mg 0.0073 0.8667 0.2503 1
Tl1 Tl 0.0304 0.7857 0.9040 1
Tl2 Tl 0.0594 0.4784 0.1408 1
Cd1 Cd 0.0000 0.0000 0.5000 1
# Energy of formation from the pure elements in eV per atom: 0.018

# 8
# NaNiSe2N | the Alexandria database | PBE-GGA | optimized geometry
data_NaNiSe2N
_cell_length_a 5.2052
_cell_length_b 5.2052
_cell_length_c 3.3761
_cell_angle_alpha 90.00
_cell_angle_beta 90.00
_cell_angle_gamma 90.00
_symmetry_space_group_name_H-M 'P 4/m m m'
_symmetry_Int_Tables_number 123
_symmetry_space_group_name_Hall '-P 4 2'
loop_
_atom_site_label
_atom_site_type_symbol
_atom_site_fract_x
_atom_site_fract_y
_atom_site_fract_z
_atom_site_occupancy
Na1 Na 0.0000 0.0000 0.0000 1
Ni1 Ni 0.5000 0.5000 0.5000 1
Se1 Se 0.0000 0.5000 0.5000 1
N1 N 0.5000 0.5000 0.0000 1
# Offset from the most stable computed form in eV per atom: 0.000
# Formation energy without anion corrections in meV/atom: 149

# 9
# LiAg5Hg3 | the Alexandria database | PBE-GGA | optimized geometry
data_LiAg5Hg3
_cell_length_a 7.2573
_cell_length_b 7.2573
_cell_length_c 14.3289
_cell_angle_alpha 90.00
_cell_angle_beta 90.00
_cell_angle_gamma 90.00
_symmetry_space_group_name_H-M 'I 4/m c m'
_symmetry_Int_Tables_number 140
_symmetry_space_group_name_Hall '-I 4 2c'
loop_
_atom_site_label
_atom_site_type_symbol
_atom_site_fract_x
_atom_site_fract_y
_atom_site_fract_z
_atom_site_occupancy
Li1 Li 0.0000 0.5000 0.2500 1
Ag1 Ag 0.0000 0.0000 0.0000 1
Ag2 Ag 0.2139 0.2861 0.1541 1
Hg1 Hg 0.0000 0.0000 0.2500 1
Hg2 Hg 0.1309 0.3691 0.5000 1
# Energy of formation from the pure elements in eV per atom: 0.145

# 10
# NpSnH | the Alexandria database | PBE-GGA | optimized geometry
data_NpSnH
_cell_length_a 7.3402
_cell_length_b 6.2420
_cell_length_c 4.7014
_cell_angle_alpha 90.00
_cell_angle_beta 90.00
_cell_angle_gamma 90.00
_symmetry_space_group_name_H-M 'P m m a'
_symmetry_Int_Tables_number 51
loop_
_symmetry_equiv_pos_as_xyz
'x,y,z'
'-x,-y,-z'
'-x+1/2,-y,z'
'x+1/2,y,-z'
'x+1/2,-y,-z'
'-x+1/2,y,z'
'-x,y,-z'
'x,-y,z'
loop_
_atom_site_label
_atom_site_type_symbol
_atom_site_fract_x
_atom_site_fract_y
_atom_site_fract_z
_atom_site_occupancy
Np1 Np 0.2500 0.1902 0.0241 1
Sn1 Sn 0.0000 0.0000 0.5000 1
Sn2 Sn 0.0000 0.5000 0.5000 1
H1 H 0.0000 0.0000 0.0000 1
H2 H 0.2500 0.5000 0.9333 1
# Offset from the most stable computed form in eV per atom: 0.240

# 11
# TlCo2CuBr6 | the Alexandria database | PBE-GGA | optimized geometry
data_TlCo2CuBr6
_cell_length_a 13.8289
_cell_length_b 13.9924
_cell_length_c 7.4855
_cell_angle_alpha 90.00
_cell_angle_beta 111.07
_cell_angle_gamma 90.00
_symmetry_space_group_name_H-M 'C 1 2/c 1'
_symmetry_Int_Tables_number 15
loop_
_symmetry_equiv_pos_as_xyz
'x,y,z'
'-x,-y,-z'
'-x,y,-z+1/2'
'x,-y,z+1/2'
'x+1/2,y+1/2,z'
'-x+1/2,-y+1/2,-z'
'-x+1/2,y+1/2,-z+1/2'
'x+1/2,-y+1/2,z+1/2'
loop_
_atom_site_label
_atom_site_type_symbol
_atom_site_fract_x
_atom_site_fract_y
_atom_site_fract_z
_atom_site_occupancy
Tl1 Tl 0.0000 0.1222 0.2500 1
Co1 Co 0.1918 0.4277 0.1798 1
Cu1 Cu 0.0000 0.2200 0.7500 1
Br1 Br 0.1161 0.2750 0.0538 1
Br2 Br 0.1225 0.0855 0.7070 1
Br3 Br 0.1374 0.4446 0.4533 1
# Formation energy without anion corrections in meV/atom: -370

# 12
# LaNdGdGa | the Alexandria database | PBE-GGA | optimized geometry
data_LaNdGdGa
_cell_length_a 7.7581
_cell_length_b 7.7581
_cell_length_c 7.7581
_cell_angle_alpha 90.00
_cell_angle_beta 90.00
_cell_angle_gamma 90.00
_symmetry_space_group_name_H-M 'F -4 3 m'
_symmetry_Int_Tables_number 216
_symmetry_space_group_name_Hall 'F -4 2 3'
loop_
_atom_site_label
_atom_site_type_symbol
_atom_site_fract_x
_atom_site_fract_y
_atom_site_fract_z
_atom_site_occupancy
La1 La 0.0000 0.0000 0.0000 1
Nd1 Nd 0.0000 0.0000 0.5000 1
Gd1 Gd 0.2500 0.2500 0.7500 1
Ga1 Ga 0.2500 0.2500 0.2500 1
# Energy of formation from the pure elements in eV per atom: -0.135